! Tb4Dy3Ge4 | the Alexandria database | PBE | optimized geometry; values from VASP
&SYSTEM
  ibrav = 0, nat = 11, ntyp = 3
/
ATOMIC_SPECIES
Tb 158.93 Tb.upf
Dy 162.50 Dy.upf
Ge 72.64 Ge.upf
CELL_PARAMETERS angstrom
-1.9172 4.3563 8.4411
1.9172 -4.3563 8.4411
1.9172 4.3563 -8.4411
ATOMIC_POSITIONS crystal
Tb 0.0105 0.8294 0.1811
Tb 0.3517 0.1706 0.1811
Tb 0.6483 0.8294 0.8189
Tb 0.9895 0.1706 0.8189
Dy 0.0000 0.5000 0.5000
Dy 0.4026 0.4026 0.0000
Dy 0.5974 0.5974 0.0000
Ge 0.2714 0.7714 0.5000
Ge 0.2778 0.0000 0.2778
Ge 0.7222 0.0000 0.7222
Ge 0.7286 0.2286 0.5000
! Total magnetization, μB per cell: 0.702
! Formation energy from the elements, eV per formula unit: -6.7

---

! ZrCrB | the Alexandria database | PBE | optimized geometry; values from VASP
&SYSTEM
  ibrav = 0, nat = 6, ntyp = 3
/
ATOMIC_SPECIES
Zr 91.22 Zr.upf
Cr 52.00 Cr.upf
B 10.81 B.upf
CELL_PARAMETERS angstrom
3.3891 0.0000 0.0000
0.0000 3.3891 0.0000
0.0000 0.0000 6.7740
ATOMIC_POSITIONS crystal
Zr 0.2500 0.2500 0.1479
Zr 0.7500 0.7500 0.8521
Cr 0.2500 0.7500 0.5000
Cr 0.7500 0.2500 0.5000
B 0.2500 0.2500 0.7230
B 0.7500 0.7500 0.2770
! Total magnetization, μB per cell: 0.000
! Energy above the most stable polymorph in this dataset, eV per atom: 0.000
! Formation energy from the elements, eV per formula unit: -1.3

---

| no. | theoretical density (Mg/m³) |
| --- | --- |
| 1 | 8.3 |
| 2 | 6.6 |